# 1
This record from the Alexandria database describes a geometry-optimized ZrNbAl2 structure. The functional is GGA-PBE.

Values from the calculation:
- energy of formation (eV per atom) = -0.17
- energy relative to the lowest polymorph listed for this composition (meV/atom) = 191
- uncorrected energy (eV per cell) = -26.79

a b c (Å): 4.671 4.671 4.671
angles (deg): 60.00 60.00 60.00
Positions (direct):
Al: 0.250 0.250 0.250
Al: 0.750 0.750 0.750
Nb: 0.500 0.500 0.500
Zr: 0.000 0.000 0.000



# 2
This record from the Alexandria database describes a geometry-optimized UCdPdRh structure. The functional is GGA-PBE.

Values from the calculation:
- energy of formation (eV per atom) = -0.29
- uncorrected energy (eV per cell) = -25.92

a b c (Å): 4.765 4.765 4.765
angles (deg): 60.00 60.00 60.00
Positions (direct):
Rh: 0.750 0.750 0.750
U: 0.000 0.000 0.000
Cd: 0.500 0.500 0.500
Pd: 0.250 0.250 0.250



# 3
This record from the Alexandria database describes a geometry-optimized AgHg2Rh structure. The functional is GGA-PBE.

Values from the calculation:
- energy of formation (eV per atom) = 0.12
- uncorrected energy (eV per cell) = -10.33

a b c (Å): 3.109 3.109 7.704
angles (deg): 90.00 90.00 90.00
Positions (direct):
Hg: 0.000 0.000 0.766
Hg: 0.000 0.000 0.234
Ag: 0.500 0.500 0.500
Rh: 0.500 0.500 0.000



# 4
This record from the Alexandria database describes a geometry-optimized Zr2Si4Ni3Pt structure. The functional is GGA-PBE.

Values from the calculation:
- raw formation energy (eV/atom) = -0.84
- uncorrected energy (eV per cell) = -70.57

a b c (Å): 3.917 3.917 9.404
angles (deg): 90.00 90.00 90.00
Positions (direct):
Ni: 0.000 0.500 0.120
Ni: 0.500 0.000 0.880
Ni: 0.000 0.000 0.500
Si: 0.500 0.500 0.000
Si: 0.000 0.000 0.000
Si: 0.500 0.000 0.645
Si: 0.000 0.500 0.355
Zr: 0.500 0.000 0.237
Zr: 0.000 0.500 0.763
Pt: 0.500 0.500 0.500



# 5
This record from the Alexandria database describes a geometry-optimized TaTcGe structure. The functional is GGA-PBE.

Values from the calculation:
- energy of formation (eV per atom) = -0.15
- energy relative to the lowest polymorph listed for this composition (meV/atom) = 192
- uncorrected energy (eV per cell) = -27.30

a b c (Å): 2.895 4.385 4.385
angles (deg): 120.00 90.00 90.00
Positions (direct):
Tc: 0.127 0.000 0.000
Ge: 0.164 0.667 0.333
Ta: 0.709 0.333 0.667



# 6
This record from the Alexandria database describes a geometry-optimized ThTl6Cl12 structure. The functional is GGA-PBE.

Values from the calculation:
- raw formation energy (eV/atom) = -1.19
- uncorrected energy (eV per cell) = -66.45

a b c (Å): 8.875 8.875 8.875
angles (deg): 98.89 98.89 98.89
Positions (direct):
Cl: 0.029 0.918 0.701
Cl: 0.579 0.417 0.173
Cl: 0.417 0.173 0.579
Cl: 0.082 0.299 0.971
Cl: 0.421 0.583 0.827
Cl: 0.701 0.029 0.918
Cl: 0.173 0.579 0.417
Cl: 0.918 0.701 0.029
Cl: 0.971 0.082 0.299
Cl: 0.827 0.421 0.583
Cl: 0.299 0.971 0.082
Cl: 0.583 0.827 0.421
Tl: 0.617 0.150 0.334
Tl: 0.150 0.334 0.617
Tl: 0.666 0.383 0.850
Tl: 0.850 0.666 0.383
Tl: 0.334 0.617 0.150
Tl: 0.383 0.850 0.666
Th: 0.000 0.000 0.000



# 7
This record from the Alexandria database describes a geometry-optimized K2LaAgBr6 structure. The functional is GGA-PBE.

Values from the calculation:
- raw formation energy (eV/atom) = -1.57
- uncorrected energy (eV per cell) = -71.32

a b c (Å): 7.747 8.213 11.037
angles (deg): 90.00 90.99 90.00
Positions (direct):
K: 0.028 0.920 0.247
K: 0.972 0.080 0.753
K: 0.472 0.420 0.253
K: 0.528 0.580 0.747
Ag: 0.500 0.000 0.500
Ag: 0.000 0.500 0.000
Br: 0.809 0.801 0.555
Br: 0.112 0.468 0.756
Br: 0.691 0.301 0.945
Br: 0.807 0.805 0.943
Br: 0.888 0.532 0.244
Br: 0.612 0.032 0.256
Br: 0.309 0.699 0.055
Br: 0.693 0.305 0.557
Br: 0.191 0.199 0.445
Br: 0.388 0.968 0.744
Br: 0.307 0.695 0.443
Br: 0.193 0.195 0.057
La: 0.500 0.000 0.000
La: 0.000 0.500 0.500



# 8
This record from the Alexandria database describes a geometry-optimized Dy4Y8Tm structure. The functional is GGA-PBE.

Values from the calculation:
- energy of formation (eV per atom) = 0.22
- uncorrected energy (eV per cell) = -71.74

a b c (Å): 7.271 7.271 10.118
angles (deg): 90.00 111.06 120.00
Positions (direct):
Y: 0.952 0.202 0.701
Y: 0.048 0.798 0.299
Y: 0.429 0.214 0.643
Y: 0.952 0.749 0.701
Y: 0.501 0.251 0.299
Y: 0.571 0.786 0.357
Y: 0.048 0.251 0.299
Y: 0.499 0.749 0.701
Dy: 0.000 0.500 0.000
Dy: 0.000 0.000 0.000
Dy: 0.500 0.000 0.000
Dy: 0.500 0.500 0.000
Tm: 0.000 0.500 0.500



# 9
This record from the Alexandria database describes a geometry-optimized SrOsAu2 structure. The functional is GGA-PBE.

Values from the calculation:
- energy of formation (eV per atom) = 0.43
- energy relative to the lowest polymorph listed for this composition (meV/atom) = 99
- uncorrected energy (eV per cell) = -17.74

a b c (Å): 5.066 5.066 5.066
angles (deg): 126.55 116.52 87.59
Positions (direct):
Sr: 0.250 0.750 0.500
Au: 0.544 0.544 0.000
Au: 0.956 0.956 0.000
Os: 0.750 0.250 0.500



# 10
This record from the Alexandria database describes a geometry-optimized ScFeH6 structure. The functional is GGA-PBE.

Values from the calculation:
- uncorrected energy (eV per cell) = -35.64

a b c (Å): 4.268 4.116 4.126
angles (deg): 60.02 61.06 89.97
Positions (direct):
H: 0.245 0.900 0.656
H: 0.245 0.444 0.655
H: 0.243 0.900 0.201
H: 0.755 0.100 0.344
H: 0.755 0.556 0.345
H: 0.757 0.100 0.799
Fe: 0.000 0.000 0.000
Sc: 0.500 0.500 0.000



# 11
This record from the Alexandria database describes a geometry-optimized CsCoAu3 structure. The functional is GGA-PBE.

Values from the calculation:
- energy of formation (eV per atom) = 1.88
- energy relative to the lowest polymorph listed for this composition (meV/atom) = 1586
- uncorrected energy (eV per cell) = -8.41

a b c (Å): 6.011 6.011 6.011
angles (deg): 90.00 90.00 90.00
Positions (direct):
Cs: 0.000 0.000 0.000
Au: 0.000 0.000 0.500
Au: 0.500 0.000 0.000
Au: 0.000 0.500 0.000
Co: 0.500 0.500 0.500



# 12
This record from the Alexandria database describes a geometry-optimized Ce2AsAu structure. The functional is GGA-PBE.

Values from the calculation:
- energy of formation (eV per atom) = -0.89
- uncorrected energy (eV per cell) = -23.35

a b c (Å): 4.090 4.090 7.945
angles (deg): 75.08 75.08 60.00
Positions (direct):
Au: 0.499 0.499 0.502
Ce: 0.256 0.256 0.233
Ce: 0.078 0.078 0.767
As: 0.667 0.667 0.999



# 13
This record from the Alexandria database describes a geometry-optimized SrPuPa2N4 structure. The functional is GGA-PBE.

Values from the calculation:
- raw formation energy (eV/atom) = -1.05
- uncorrected energy (eV per cell) = -153.42

a b c (Å): 3.586 6.612 11.685
angles (deg): 90.00 90.00 105.74
Positions (direct):
Pu: 0.191 0.381 0.250
Pu: 0.809 0.619 0.750
Pa: 0.622 0.245 0.442
Pa: 0.378 0.755 0.558
Pa: 0.378 0.755 0.942
Pa: 0.622 0.245 0.058
N: 0.285 0.571 0.402
N: 0.444 0.887 0.750
N: 0.000 0.000 0.000
N: 0.556 0.113 0.250
N: 0.000 0.000 0.500
N: 0.715 0.429 0.902
N: 0.285 0.571 0.098
N: 0.715 0.429 0.598
Sr: 0.914 0.828 0.250
Sr: 0.086 0.172 0.750



# 14
This record from the Alexandria database describes a geometry-optimized Na2AsH2O6 structure. The functional is GGA-PBE.

Values from the calculation:
- uncorrected energy (eV per cell) = -51.85

a b c (Å): 4.850 4.850 6.090
angles (deg): 66.53 66.53 60.00
Positions (direct):
H: 0.398 0.398 0.806
H: 0.602 0.602 0.194
Na: 0.792 0.792 0.624
Na: 0.208 0.208 0.376
O: 0.758 0.263 0.221
O: 0.737 0.242 0.779
O: 0.242 0.242 0.779
O: 0.242 0.737 0.779
O: 0.758 0.758 0.221
O: 0.263 0.758 0.221
As: 0.000 0.000 0.000



# 15
This record from the Alexandria database describes a geometry-optimized LaSiAs3 structure. The functional is GGA-PBE.

Values from the calculation:
- raw formation energy (eV/atom) = -0.64
- energy relative to the lowest polymorph listed for this composition (meV/atom) = 26
- uncorrected energy (eV per cell) = -219.84

a b c (Å): 5.946 6.059 26.606
angles (deg): 90.00 90.00 90.00
Positions (direct):
La: 0.501 0.000 0.409
La: 0.001 0.500 0.409
La: 0.499 0.000 0.591
La: 0.001 0.000 0.091
La: 0.999 0.000 0.909
La: 0.999 0.500 0.591
La: 0.501 0.500 0.091
La: 0.499 0.500 0.909
As: 0.250 0.249 0.000
As: 0.250 0.749 0.000
As: 0.997 0.496 0.876
As: 0.986 0.465 0.711
As: 0.497 0.504 0.624
As: 0.514 0.965 0.289
As: 0.486 0.535 0.789
As: 0.014 0.535 0.289
As: 0.250 0.249 0.500
As: 0.750 0.251 0.000
As: 0.503 0.996 0.124
As: 0.250 0.749 0.500
As: 0.997 0.996 0.624
As: 0.986 0.965 0.789
As: 0.503 0.496 0.376
As: 0.486 0.035 0.711
As: 0.750 0.751 0.000
As: 0.750 0.751 0.500
As: 0.014 0.035 0.211
As: 0.003 0.004 0.376
As: 0.003 0.504 0.124
As: 0.497 0.004 0.876
As: 0.514 0.465 0.211
As: 0.750 0.251 0.500
Si: 0.088 0.089 0.707
Si: 0.412 0.589 0.293
Si: 0.412 0.089 0.207
Si: 0.912 0.911 0.293
Si: 0.588 0.911 0.793
Si: 0.088 0.589 0.793
Si: 0.588 0.411 0.707
Si: 0.912 0.411 0.207



# 16
This record from the Alexandria database describes a geometry-optimized LiNd2PuO6 structure. The functional is GGA-PBE.

Values from the calculation:
- raw formation energy (eV/atom) = -2.91
- uncorrected energy (eV per cell) = -84.62

a b c (Å): 5.875 5.875 5.955
angles (deg): 60.44 60.44 60.00
Positions (direct):
Nd: 0.033 0.033 0.901
Nd: 0.538 0.538 0.385
O: 0.960 0.592 0.261
O: 0.440 0.672 0.775
O: 0.672 0.113 0.775
O: 0.592 0.187 0.261
O: 0.187 0.960 0.261
O: 0.113 0.440 0.775
Pu: 0.316 0.316 0.053
Li: 0.810 0.810 0.569



# 17
This record from the Alexandria database describes a geometry-optimized MnReAg2 structure. The functional is GGA-PBE.

Values from the calculation:
- energy of formation (eV per atom) = 0.63
- energy relative to the lowest polymorph listed for this composition (meV/atom) = 305
- uncorrected energy (eV per cell) = -24.79

a b c (Å): 2.690 4.353 5.453
angles (deg): 90.00 90.00 90.00
Positions (direct):
Mn: 0.500 0.500 0.250
Ag: 0.000 0.000 0.999
Ag: 0.000 0.000 0.501
Re: 0.500 0.500 0.750



# 18
This record from the Alexandria database describes a geometry-optimized Pm4Ho3Er8 structure. The functional is GGA-PBE.

Values from the calculation:
- energy of formation (eV per atom) = 0.38
- energy relative to the lowest polymorph listed for this composition (meV/atom) = 254
- uncorrected energy (eV per cell) = -63.56

a b c (Å): 6.706 9.256 9.256
angles (deg): 87.56 111.37 111.37
Positions (direct):
Pm: 0.000 0.000 0.000
Pm: 0.000 0.000 0.500
Pm: 0.500 0.000 0.000
Pm: 0.000 0.500 0.000
Er: 0.500 0.745 0.255
Er: 0.000 0.363 0.637
Er: 0.478 0.733 0.733
Er: 0.500 0.255 0.745
Er: 0.996 0.730 0.730
Er: 0.522 0.267 0.267
Er: 0.004 0.270 0.270
Er: 0.000 0.637 0.363
Ho: 0.500 0.500 0.000
Ho: 0.500 0.500 0.500
Ho: 0.500 0.000 0.500



# 19
This record from the Alexandria database describes a geometry-optimized Nd5HoTl6 structure. The functional is GGA-PBE.

Values from the calculation:
- energy of formation (eV per atom) = -0.38
- uncorrected energy (eV per cell) = -47.16

a b c (Å): 5.518 7.704 8.747
angles (deg): 90.00 71.25 90.00
Positions (direct):
Tl: 0.163 0.755 0.673
Tl: 0.837 0.245 0.327
Tl: 0.163 0.245 0.673
Tl: 0.500 0.246 0.000
Tl: 0.837 0.755 0.327
Tl: 0.500 0.754 0.000
Nd: 0.670 0.500 0.661
Nd: 0.334 0.000 0.333
Nd: 0.330 0.500 0.339
Nd: 0.000 0.500 0.000
Nd: 0.666 0.000 0.667
Ho: 0.000 0.000 0.000



# 20
This record from the Alexandria database describes a geometry-optimized NbIrN2 structure. The functional is GGA-PBE.

Values from the calculation:
- raw formation energy (eV/atom) = -0.10
- energy relative to the lowest polymorph listed for this composition (meV/atom) = 0
- uncorrected energy (eV per cell) = -35.99

a b c (Å): 6.567 6.567 6.567
angles (deg): 26.73 26.73 26.73
Positions (direct):
N: 0.896 0.896 0.896
N: 0.104 0.104 0.104
Nb: 0.500 0.500 0.500
Ir: 0.000 0.000 0.000